A plane-wave DFT calculation with PBE was carried out for crystalline CaGaCuF6 at its relaxed geometry.

Uncorrected formation energy, eV per atom: -2.656
ρ, Mg/m³: 3.85
Crystal system: tetragonal
Magnetization, μB per atom: 0.01
Fermi-level density of states, states/eV per cell: 3.4

Cell lengths 4.992, 4.992, 9.951 Å; angles 90.00, 90.00, 90.00 degrees
Space group P4_2nm (No. 102)
Asymmetric unit:
Ca1 0.000 0.000 0.000
Ga1 0.000 0.000 0.664
Cu1 0.000 0.000 0.327
F1 0.184 0.184 0.520
F2 0.187 0.187 0.808
F3 0.228 0.228 0.162